Model P:
## SrTb2S4 (PBE)

Data for a relaxed structure of SrTb2S4.

The space group is Pnma (No. 62) and the conventional cell measures 12.069, 4.019 and 14.439 Å, with angles of 90.00, 90.00 and 90.00 degrees. The distinct sites, in fractional coordinates, are Sr at (0.243, 0.250, 0.162), Tb at (0.069, 0.250, 0.390), Tb at (0.081, 0.250, 0.899), S at (0.022, 0.750, 0.784), S at (0.085, 0.250, 0.579), S at (0.131, 0.750, 0.027) and S at (0.208, 0.750, 0.324).

The calculation puts the density of states at the Fermi level at 0.0 states/eV/f.u.

=====

Model Q:
## SrTb2S4 (PBE)

Data for a relaxed structure of SrTb2S4.

The space group is Cmcm (No. 63) and the conventional cell measures 3.990, 13.128 and 13.499 Å, with angles of 90.00, 90.00 and 90.00 degrees. The distinct sites, in fractional coordinates, are Sr at (0.000, 0.112, 0.250), Tb at (0.000, 0.366, 0.070), S at (0.000, 0.000, 0.000), S at (0.000, 0.269, 0.615) and S at (0.000, 0.450, 0.250).

=====

Which structure is most stable, and how do the rest compare? From most to least stable: model P, model Q.

=====

Model P:
## Sr2TeS (PBE)

Data for a relaxed structure of Sr2TeS.

The space group is I-42d (No. 122) and the conventional cell measures 7.984, 7.984 and 9.427 Å, with angles of 90.00, 90.00 and 90.00 degrees. The distinct sites, in fractional coordinates, are Sr at (0.213, 0.250, 0.125), Te at (0.000, 0.000, 0.500) and S at (0.000, 0.000, 0.000).

The calculation puts the density of states at the Fermi level at 0.0 states/eV/f.u.

=====

Model Q:
## Sr2TeS (PBE)

Data for a relaxed structure of Sr2TeS.

The space group is R-3m (No. 166, hexagonal axes) and the conventional cell measures 4.5040, 4.5040 and 22.2923 Å, with angles of 90.00, 90.00 and 120.00 degrees. The distinct sites, in fractional coordinates, are Sr at (0.0000, 0.0000, 0.2421), Te at (0.0000, 0.0000, 0.0000) and S at (0.0000, 0.0000, 0.5000).

The calculation puts the density of states at the Fermi level at 0.0 states/eV/f.u.

=====

Which structure is most stable, and how do the rest compare? From most to least stable: model Q, model P.

=====

Model P:
## Sr2TeS (PBE)

Data for a relaxed structure of Sr2TeS.

The space group is Fm-3m (No. 225) and the conventional cell measures 7.803, 7.803 and 7.803 Å, with angles of 90.00, 90.00 and 90.00 degrees. The distinct sites, in fractional coordinates, are Sr at (0.250, 0.250, 0.250), Te at (0.000, 0.000, 0.000) and S at (0.000, 0.000, 0.500).

The calculation puts the density of states at the Fermi level at 0.0 states/eV/f.u.

=====

Model Q:
## Sr2TeS (PBE)

Data for a relaxed structure of Sr2TeS.

The space group is R3m (No. 160, hexagonal axes) and the conventional cell measures 4.4321, 4.4321 and 23.1779 Å, with angles of 90.00, 90.00 and 120.00 degrees. The distinct sites, in fractional coordinates, are Sr at (0.0000, 0.0000, 0.0000), Sr at (0.0000, 0.0000, 0.1834), Te at (0.0000, 0.0000, 0.4240) and S at (0.0000, 0.0000, 0.5932).

The calculation puts the density of states at the Fermi level at 0.0 states/eV/f.u.

=====

Which structure is most stable, and how do the rest compare? From most to least stable: model Q, model P.

=====

Model P:
## SrTi4S8 (PBE)

Data for a relaxed structure of SrTi4S8.

The space group is R-3m (No. 166, hexagonal axes) and the conventional cell measures 6.8660, 6.8660 and 21.7168 Å, with angles of 90.00, 90.00 and 120.00 degrees. The distinct sites, in fractional coordinates, are Sr at (0.0000, 0.0000, 0.0000), Ti at (0.0000, 0.0000, 0.5000), Ti at (0.0000, 0.5000, 0.5000), S at (0.0000, 0.0000, 0.2320) and S at (0.0038, 0.5019, 0.2333).

The calculation puts the density of states at the Fermi level at 7.1 states/eV/f.u.

=====

Model Q:
## SrTi4S8 (PBE)

Data for a relaxed structure of SrTi4S8.

The space group is F-43m (No. 216) and the conventional cell measures 10.533, 10.533 and 10.533 Å, with angles of 90.00, 90.00 and 90.00 degrees. The distinct sites, in fractional coordinates, are Sr at (0.000, 0.000, 0.000), Ti at (0.116, 0.116, 0.616), S at (0.116, 0.116, 0.384) and S at (0.147, 0.147, 0.853).

The calculation puts the density of states at the Fermi level at 4.5 states/eV/f.u.

=====

Which structure is most stable, and how do the rest compare? From most to least stable: model P, model Q.